# 1
Entry from Alexandria via LeMat-Bulk: TlCd3Se4 after structural relaxation (PBE).

The structure belongs to space group P-43m (No. 215); the cell edges are 6.325, 6.325 and 6.325 Å and the angles 90.00°, 90.00° and 90.00°. The inequivalent atoms are Tl at (0.000, 0.000, 0.000), Cd at (0.000, 0.500, 0.500) and Se at (0.262, 0.262, 0.262).

The uncorrected formation energy is -0.493 eV/atom. The calculation puts the uncorrected energy at -2.87 eV per atom. The calculation puts the total magnetization at 0.00 μB per atom.

# 2
Entry from Alexandria via LeMat-Bulk: TlCdSe2 after structural relaxation (PBE).

The structure belongs to space group Pmmm (No. 47); the cell edges are 4.215, 4.291 and 5.596 Å and the angles 90.00°, 90.00° and 90.00°. The inequivalent atoms are Tl at (0.000, 0.000, 0.000), Cd at (0.500, 0.500, 0.000), Se at (0.000, 0.500, 0.500) and Se at (0.500, 0.000, 0.500).

The uncorrected formation energy is 0.120 eV/atom. The calculation puts the uncorrected energy at -2.44 eV per atom. The calculation puts the total magnetization at 0.00 μB per atom.

# 3
Entry from Alexandria via LeMat-Bulk: TlCd2Se after structural relaxation (PBE).

The structure belongs to space group R3m (No. 160, hexagonal axes); the cell edges are 4.0061, 4.0061 and 23.6275 Å and the angles 90.00°, 90.00° and 120.00°. The inequivalent atoms are Tl at (0.0000, 0.0000, 0.0000), Cd at (0.0000, 0.0000, 0.5704), Cd at (0.0000, 0.0000, 0.7625) and Se at (0.0000, 0.0000, 0.1678).

The uncorrected formation energy is -0.142 eV/atom. The energy relative to the lowest polymorph listed for this composition comes out at 0.026 eV per atom. The calculation puts the uncorrected energy at -2.06 eV per atom. The calculation puts the total magnetization at 0.00 μB per atom.